Entry 1:
BaTi PBE relaxed; size of the total moment = 4.01 μB/f.u.; ΔE to the lowest computed polymorph = 149.8 kJ/mol of atoms; SG = No. 216
1.0
7.8767 0.0000 0.0000
0.0000 7.8767 0.0000
0.0000 0.0000 7.8767
Ba Ti
4 4
Direct
0.0000 0.0000 0.0000 Ba
0.0000 0.5000 0.5000 Ba
0.5000 0.0000 0.5000 Ba
0.5000 0.5000 0.0000 Ba
0.2500 0.2500 0.2500 Ti
0.2500 0.7500 0.7500 Ti
0.7500 0.2500 0.7500 Ti
0.7500 0.7500 0.2500 Ti


Entry 2:
BaTi PBE relaxed; size of the total moment = 3.99 μB/f.u.; ΔE to the lowest computed polymorph = 123.0 kJ/mol of atoms; SG = No. 194
1.0
6.1374 0.0000 0.0000
-3.0687 5.3152 0.0000
0.0000 0.0000 7.0623
Ba Ti
2 2
Direct
0.3333 0.6667 0.7500 Ba
0.6667 0.3333 0.2500 Ba
0.3333 0.6667 0.2500 Ti
0.6667 0.3333 0.7500 Ti


Entry 3:
BaTi PBE relaxed; size of the total moment = 0.00 μB/f.u.; ΔE to the lowest computed polymorph = 14.4 kJ/mol of atoms; SG = No. 44
1.0
-8.2190 -9.9426 6.7869
2.4340 -2.5910 -0.8482
3.9574 1.4522 6.9199
Ba Ti
6 6
Direct
0.7808 0.0000 0.2505 Ba
0.2192 0.0000 0.2505 Ba
0.2808 0.5000 0.7505 Ba
0.7192 0.5000 0.7505 Ba
0.0000 0.5000 0.9345 Ba
0.5000 0.0000 0.4345 Ba
0.9163 0.0000 0.5890 Ti
0.0837 0.0000 0.5890 Ti
0.4163 0.5000 0.0890 Ti
0.5837 0.5000 0.0890 Ti
0.0000 0.5000 0.3885 Ti
0.5000 0.0000 0.8885 Ti


no.,electronic total energy (eV/atom),ΔE_f (eV per atom)
1,-2.91,1.995
2,-3.19,1.718
3,-4.32,0.591